1.
5
Lattice="6.835 0.000 0.000 0.000 6.835 0.000 0.000 0.000 3.343" Properties=species:S:1:pos:R:3 comment="PBE-GGA SbI2NCl, optimized geometry" dft_energy_ev_per_atom=-2.33 spacegroup=P4/mmm pbc="T T T"
I 0.000 3.418 0.000
I 3.418 0.000 0.000
Sb 3.418 3.418 1.671
Cl 0.000 0.000 0.000
N 0.000 0.000 1.671

---

2.
4
Lattice="-0.805 -2.826 -0.635 3.595 -0.620 -1.797 2.260 -1.798 5.140" Properties=species:S:1:pos:R:3 comment="PBE-GGA TlMoW2, optimized geometry" dft_energy_ev_per_atom=-9.11 spacegroup=Pmmm formation_enthalpy_0k_ev_per_atom=0.67 pbc="T T T"
Mo 1.960 -2.173 0.069
Tl 3.090 -3.072 2.639
W 0.093 -0.074 0.212
W 1.036 -0.825 2.358

---

3.
12
Lattice="-5.253 4.183 -2.054 -0.340 -6.910 -1.200 -1.108 0.042 6.919" Properties=species:S:1:pos:R:3 comment="PBE-GGA Ce2PmDy3P6, optimized geometry" dft_energy_ev_per_atom=-6.81 spacegroup=C2/m formation_enthalpy_0k_ev_per_atom=-1.57 pbc="T T T"
P -0.869 -2.549 1.075
Dy -4.992 2.363 1.547
Pm 0.000 0.000 0.000
P -5.833 -0.136 2.589
Dy -1.709 -5.049 2.118
P -4.177 -3.876 2.877
P -4.465 -2.029 -0.673
P -2.237 -0.657 4.337
Ce -1.977 -3.215 -1.485
Ce -3.616 0.487 -1.770
P -2.525 1.190 0.787
Dy -3.351 -1.343 1.832

---

4.
8
Lattice="-0.884 -0.575 -3.712 -1.403 -2.366 2.706 -17.944 13.193 2.229" Properties=species:S:1:pos:R:3 comment="PBE-GGA MnHgBr2, optimized geometry" dft_energy_ev_per_atom=-3.77 spacegroup=P6_3/mmc pbc="T T T"
Br -11.249 6.322 -0.307
Mn -8.972 6.596 1.114
Mn 0.000 0.000 0.000
Hg -5.716 1.529 1.124
Br -2.450 -0.872 0.718
Br -17.780 11.124 0.505
Hg -14.515 8.723 0.099
Br -8.982 3.931 1.530